Entry i
Below is a geometry-optimized MgCoBW structure, with properties calculated at the PBE level.

* SG: F-43m (216)
* magnetic moment: 2.0 μB/cell

a b c (Å): 4.1162 4.1162 4.1162
angles (deg): 60.00 60.00 60.00
Atoms (fractional coordinates):
1 Mg 0.0000 0.0000 0.0000
2 Co 0.5000 0.5000 0.5000
3 B 0.2500 0.2500 0.2500
4 W 0.7500 0.7500 0.7500

---

Entry ii
Below is a geometry-optimized MgCoBW structure, with properties calculated at the PBE level.

* SG: F-43m (216)
* magnetic moment: 2.2 μB/cell

a b c (Å): 4.0923 4.0923 4.0923
angles (deg): 60.00 60.00 60.00
Atoms (fractional coordinates):
1 Mg 0.0000 0.0000 0.0000
2 Co 0.7500 0.7500 0.7500
3 B 0.5000 0.5000 0.5000
4 W 0.2500 0.2500 0.2500

---

In terms of stability, entry ii leads; the second structure lies 8.4 kJ/mol of atoms higher.